This record from the Alexandria database describes a relaxed BeAlPt2 crystal. The functional is PBE.

Structure (POSCAR):
```
BeAlPt2
1.0
3.967 0.000 0.000
0.000 3.967 0.000
1.983 1.983 7.860
Be Pt Al
2 4 2
Direct
0.500 0.500 0.000 Be
0.250 0.750 0.500 Be
0.875 0.857 0.750 Pt
0.143 0.625 0.250 Pt
0.607 0.125 0.250 Pt
0.375 0.393 0.750 Pt
0.000 0.000 0.000 Al
0.750 0.250 0.500 Al
```

As for the formation energy from the elements: -0.364 eV/atom. For the total energy, the calculation gives -5.252 eV/atom. The total magnetic moment is 0.0 μB/f.u.